# 1
Material: AcNd2Ho3
Method: DFT, PBE-GGA
State: relaxed

Lattice parameters (Å, degrees): 6.8146 6.8146 9.1616 97.76 97.76 95.16
With the nearest neighbours (Å) after each atom.
Element x y z (fractional)
Ac1 0.0851 0.9149 0.7500  5 Ho 3.43-3.61, 6 Nd 3.79-3.83
Ac2 0.9149 0.0851 0.2500  5 Ho 3.43-3.61, 6 Nd 3.79-3.83
Nd1 0.1307 0.6231 0.3736  2 Nd 3.51-3.60, 9 Ho 3.67-3.91, 3 Ac 3.79-3.83
Nd2 0.3769 0.8693 0.1264  2 Nd 3.51-3.60, 9 Ho 3.67-3.91, 3 Ac 3.79-3.83
Nd3 0.6231 0.1307 0.8736  2 Nd 3.51-3.60, 9 Ho 3.67-3.91, 3 Ac 3.79-3.83
Nd4 0.8693 0.3769 0.6264  2 Nd 3.51-3.60, 9 Ho 3.67-3.91, 3 Ac 3.79-3.83
Ho1 0.1717 0.3469 0.0009  3 Ho 3.27-3.50, 2 Ac 3.43-3.61
Ho2 0.3469 0.1717 0.5009  3 Ho 3.27-3.50, 2 Ac 3.43-3.61
Ho3 0.4257 0.5743 0.7500  4 Ho 3.28-3.50, 1 Ac 3.43
Ho4 0.5743 0.4257 0.2500  4 Ho 3.28-3.50, 1 Ac 3.43
Ho5 0.6531 0.8283 0.4991  3 Ho 3.27-3.50, 2 Ac 3.43-3.61
Ho6 0.8283 0.6531 0.9991  3 Ho 3.27-3.50, 2 Ac 3.43-3.61

Results
space group: No. 15
calculated formation energy: 100 meV per atom

# 2
Material: Na3AlCo
Method: DFT, PBE-GGA
State: relaxed

Lattice parameters (Å, degrees): 5.2833 5.2833 5.2833 90.00 90.00 90.00
With the nearest neighbours (Å) after each atom.
Element x y z (fractional)
Na1 0.0000 0.0000 0.5000  2 Co 2.64
Na2 0.0000 0.5000 0.0000  2 Co 2.64
Na3 0.5000 0.0000 0.0000  2 Co 2.64
Al1 0.5000 0.5000 0.5000  12 Na 3.74
Co1 0.0000 0.0000 0.0000  6 Na 2.64

Results
space group: No. 221
calculated formation energy: 999 meV per atom

# 3
Material: CsPbBr3
Method: DFT, PBE-GGA
State: relaxed

Lattice parameters (Å, degrees): 6.0747 8.3092 8.3092 90.01 90.00 90.00
With the nearest neighbours (Å) after each atom.
Element x y z (fractional)
Cs1 0.0000 0.0000 0.0000  8 Br 3.76-4.20
Cs2 0.0000 0.4937 0.4937  8 Br 3.76-4.17
Pb1 0.5000 0.4955 0.9943  6 Br 3.02-3.04
Pb2 0.5000 0.9943 0.4955  6 Br 3.02-3.04
Br1 0.0000 0.4943 0.9954  2 Pb 3.04
Br2 0.0000 0.9954 0.4943  2 Pb 3.04
Br3 0.5000 0.1835 0.8061  2 Pb 3.02-3.03
Br4 0.5000 0.3048 0.3048  2 Pb 3.03
Br5 0.5000 0.6821 0.6821  2 Pb 3.02
Br6 0.5000 0.8061 0.1835  2 Pb 3.02-3.03

Results
space group: No. 38
raw total energy: -3.218 eV/atom

# 4
Material: KAlCd2Te4
Method: DFT, PBE-GGA
State: relaxed

Lattice parameters (Å, degrees): 7.6503 7.6503 7.6503 123.39 123.39 84.23
With the nearest neighbours (Å) after each atom.
Element x y z (fractional)
K1 0.0000 0.0000 0.0000  4 Te 3.33
Al1 0.5000 0.5000 0.0000  4 Te 2.63
Cd1 0.2500 0.7500 0.5000  4 Te 2.92
Cd2 0.7500 0.2500 0.5000  4 Te 2.92
Te1 0.1577 0.5786 0.0000  1 Al 2.63, 2 Cd 2.92
Te2 0.4214 0.4214 0.5791  1 Al 2.63, 2 Cd 2.92
Te3 0.5786 0.1577 0.0000  1 Al 2.63, 2 Cd 2.92
Te4 0.8423 0.8423 0.4209  1 Al 2.63, 2 Cd 2.92

Results
space group: No. 121
raw total energy: -2.958 eV/atom

# 5
Material: Ta2MoW
Method: DFT, PBE-GGA
State: relaxed

Lattice parameters (Å, degrees): 3.2346 3.2346 6.4711 90.00 90.00 90.00
With the nearest neighbours (Å) after each atom.
Element x y z (fractional)
Ta1 0.0000 0.0000 0.2487  4 Mo 2.80, 4 W 2.81
Ta2 0.0000 0.0000 0.7513  4 Mo 2.80, 4 W 2.81
Mo1 0.5000 0.5000 0.0000  8 Ta 2.80
W1 0.5000 0.5000 0.5000  8 Ta 2.81

Results
space group: No. 123
calculated formation energy: -155 meV per atom

# 6
Material: RbBa2NbO5
Method: DFT, PBE-GGA
State: relaxed

Lattice parameters (Å, degrees): 7.4515 7.4515 6.4609 90.00 90.00 90.00
With the nearest neighbours (Å) after each atom.
Element x y z (fractional)
Rb1 0.0000 0.0000 0.0000  10 O 3.23-3.25
Rb2 0.5000 0.5000 0.0000  10 O 3.23-3.25
Ba1 0.1831 0.3169 0.5000  8 O 2.70-2.99
Ba2 0.3169 0.8169 0.5000  8 O 2.70-2.99
Ba3 0.6831 0.1831 0.5000  8 O 2.70-2.99
Ba4 0.8169 0.6831 0.5000  8 O 2.70-2.99
Nb1 0.0000 0.5000 0.0000  4 O 1.95
Nb2 0.5000 0.0000 0.0000  4 O 1.95
O1 0.0000 0.0000 0.5000  4 Ba 2.73
O2 0.1288 0.6288 0.2167  1 Nb 1.95
O3 0.1288 0.6288 0.7833  1 Nb 1.95
O4 0.3712 0.1288 0.2167  1 Nb 1.95
O5 0.3712 0.1288 0.7833  1 Nb 1.95
O6 0.5000 0.5000 0.5000  4 Ba 2.73
O7 0.6288 0.8712 0.2167  1 Nb 1.95
O8 0.6288 0.8712 0.7833  1 Nb 1.95
O9 0.8712 0.3712 0.2167  1 Nb 1.95
O10 0.8712 0.3712 0.7833  1 Nb 1.95

Results
space group: No. 127
raw total energy: -6.515 eV/atom

# 7
Material: Ti5Zn2In
Method: DFT, PBE-GGA
State: relaxed

Lattice parameters (Å, degrees): 7.5370 7.5370 7.5370 124.50 124.50 82.37
With the nearest neighbours (Å) after each atom.
Element x y z (fractional)
Ti1 0.0000 0.0000 0.0000  4 Zn 2.71, 2 In 2.84
Ti2 0.0037 0.5037 0.1953  3 Zn 2.71, 2 In 2.87, 4 Ti 2.88-3.02
Ti3 0.1916 0.9963 0.5000  3 Zn 2.71, 2 In 2.87, 4 Ti 2.88-3.02
Ti4 0.3084 0.8084 0.8047  3 Zn 2.71, 2 In 2.87, 4 Ti 2.88-3.02
Ti5 0.4963 0.6916 0.5000  3 Zn 2.71, 2 In 2.87, 4 Ti 2.88-3.02
Ti6 0.5000 0.5000 0.0000  4 Zn 2.71, 2 In 2.84
Ti7 0.5037 0.3084 0.5000  3 Zn 2.71, 2 In 2.87, 4 Ti 2.88-3.02
Ti8 0.6916 0.1916 0.1953  3 Zn 2.71, 2 In 2.87, 4 Ti 2.88-3.02
Ti9 0.8084 0.0037 0.5000  3 Zn 2.71, 2 In 2.87, 4 Ti 2.88-3.02
Ti10 0.9963 0.4963 0.8047  3 Zn 2.71, 2 In 2.87, 4 Ti 2.88-3.02
Zn1 0.1405 0.3595 0.5000  8 Ti 2.71, 1 Zn 2.79
Zn2 0.3595 0.8595 0.2191  8 Ti 2.71, 1 Zn 2.79
Zn3 0.6405 0.1405 0.7809  8 Ti 2.71, 1 Zn 2.79
Zn4 0.8595 0.6405 0.5000  8 Ti 2.71, 1 Zn 2.79
In1 0.2500 0.2500 0.0000  10 Ti 2.84-2.87
In2 0.7500 0.7500 0.0000  10 Ti 2.84-2.87

Results
space group: No. 140
calculated formation energy: -39 meV per atom

# 8
Material: Ba6As2Cl3F
Method: DFT, PBE-GGA
State: relaxed

Lattice parameters (Å, degrees): 10.2609 10.2609 9.1780 104.25 104.25 26.37
With the nearest neighbours (Å) after each atom.
Element x y z (fractional)
Ba1 0.0020 0.0020 0.2584  1 As 3.11, 2 F 3.23, 3 Cl 3.32-3.34
Ba2 0.3286 0.3286 0.9235  3 As 3.26-3.29, 3 Cl 3.32-3.36
Ba3 0.3470 0.3470 0.4147  1 F 2.96, 2 As 3.19
Ba4 0.6530 0.6530 0.5853  1 F 2.96, 2 As 3.19
Ba5 0.6714 0.6714 0.0765  3 As 3.26-3.29, 3 Cl 3.32-3.36
Ba6 0.9980 0.9980 0.7416  1 As 3.11, 2 F 3.23, 3 Cl 3.32-3.34
As1 0.1586 0.1586 0.8236  6 Ba 3.11-3.29
As2 0.8414 0.8414 0.1764  6 Ba 3.11-3.29
Cl1 0.1745 0.1745 0.3411  6 Ba 3.34-3.36
Cl2 0.5000 0.5000 0.0000  6 Ba 3.32
Cl3 0.8255 0.8255 0.6589  6 Ba 3.34-3.36
F1 0.5000 0.5000 0.5000  6 Ba 2.96-3.23

Results
space group: No. 12
raw total energy: -4.183 eV/atom

| no. | total moment (Bohr magnetons per cell) |
| --- | --- |
| 1 | 0.00 |
| 2 | 0.02 |
| 3 | 0.00 |
| 4 | 0.00 |
| 5 | 0.00 |
| 6 | 1.62 |
| 7 | 7.34 |
| 8 | 0.27 |